Computed, not measured: Li2VO2F after structural relaxation at the PBE with a Hubbard U level of DFT.

Cell: 13.2629 13.2629 7.3439 Å, 89.22 89.22 12.98°
Last column: magnetic moment on the atom in μB.
Positions (direct):
Li 0.5194 0.5194 0.8570  0.00
Li 0.9227 0.9227 0.8611  0.00
Li 0.7419 0.7419 0.8453  0.00
Li 0.6768 0.6768 0.1539  0.00
Li 0.8746 0.8746 0.1356  0.00
Li 0.3421 0.3421 0.8593  0.00
Li 0.1423 0.1423 0.8490  0.00
Li 0.0725 0.0725 0.1450  0.00
Li 0.4585 0.4585 0.1473  0.00
Li 0.2757 0.2757 0.1642  0.00
V 0.0030 0.0030 0.4888  1.92
V 0.8044 0.8044 0.5014  1.89
V 0.6094 0.6094 0.4817  1.93
V 0.4038 0.4038 0.5014  1.92
V 0.2067 0.2067 0.5025  1.92
O 0.5437 0.5437 0.3567  -0.02
O 0.7376 0.7376 0.3485  0.00
O 0.9387 0.9387 0.3525  -0.02
O 0.8707 0.8707 0.6479  -0.01
O 0.6685 0.6685 0.6486  -0.01
O 0.3366 0.3366 0.3562  -0.01
O 0.1409 0.1409 0.3415  0.00
O 0.2693 0.2693 0.6543  -0.01
O 0.4751 0.4751 0.6405  -0.01
O 0.4024 0.4024 0.9986  0.00
F 0.0092 0.0092 0.0077  0.00
F 0.8004 0.8004 0.0022  0.00
F 0.6085 0.6085 0.0001  0.00
F 0.0736 0.0736 0.6549  0.01
F 0.2050 0.2050 0.9962  0.00

Output
The calculation puts the mass density at 3.31 g/cm3. Its density of states at the Fermi level is 0.9 states/eV/cell. The value obtained for the energy is -184.198 eV/cell.